Li4Cr3Fe3O12 | GGA+U | relaxed

It has space group F222 (No. 22), with a = 5.6293 Å, b = 8.9396 Å, c = 16.7620 Å, α = 90.00°, β = 90.00° and γ = 90.00°. The distinct sites, in fractional coordinates, are Li at (0.0000, 0.0000, 0.1693), Li at (0.2500, 0.2500, 0.5793), Cr at (0.2500, 0.2500, 0.0835), Cr at (0.2500, 0.2500, 0.7500), Fe at (0.0000, 0.0000, 0.0000), Fe at (0.0000, 0.0000, 0.3364), O at (0.0000, 0.2209, 0.0000), O at (0.0126, 0.2206, 0.6664), O at (0.2364, 0.0279, 0.0851) and O at (0.2500, 0.0290, 0.7500).

The value obtained for the excess energy over the best structure of this formula in the dataset is 185 meV/atom. For the total DFT energy (no corrections), the calculation gives -560.9 eV per cell.